1.
Density functional theory data (PBE) for a relaxed structure of YVAgSb2.

Cell and atoms, written as POSCAR:
```
YVAgSb2
1.0
5.276 0.000 0.000
0.000 5.350 0.000
0.000 0.000 5.276
Ag Y Sb V
1 1 2 1
Cartesian
0.000 0.000 0.000
0.000 2.675 0.000
0.000 0.000 2.638
2.638 0.000 0.000
2.638 2.675 2.638
```

Properties
Electronic total energy: -4.337 eV/atom
Fermi-level density of states: 1.49 states/eV/atom



2.
Density functional theory data (PBE) for a relaxed structure of LaDyTm2Sc2.

Cell and atoms, written as POSCAR:
```
LaDyTm2Sc2
1.0
3.326 0.000 0.000
0.000 6.259 0.000
0.000 0.000 17.453
Tm Dy Sc La
4 2 4 2
Cartesian
0.000 4.932 3.382
0.000 1.327 14.070
1.663 4.457 12.109
1.663 1.803 5.344
0.000 0.000 8.726
1.663 3.130 0.000
1.663 4.955 6.177
0.000 4.435 14.903
0.000 1.825 2.549
1.663 1.305 11.276
0.000 0.000 0.000
1.663 3.130 8.726
```

Properties
Electronic total energy: -4.907 eV/atom
Fermi-level density of states: 1.71 states/eV/atom
Formation enthalpy at 0 K: 0.28 eV per atom